(one)
{"formula": "Ba2SrSi2", "functional": "PBE", "state": "relaxed", "lattice_angstrom": [[5.060, 0.000, 0.000], [0.000, 5.060, 0.000], [2.530, 2.530, 6.903]], "species": ["Sr", "Si", "Si", "Ba", "Ba"], "fractional_positions": [[0.000, 0.000, 0.000], [0.416, 0.416, 0.167], [0.584, 0.584, 0.833], [0.750, 0.250, 0.500], [0.250, 0.750, 0.500]], "dos_at_fermi_per_ev_cell": 4.59}



(two)
{"formula": "Ba2SrSi2", "functional": "PBE", "state": "relaxed", "lattice_angstrom": [[9.587, 0.000, 0.000], [0.000, 9.587, 0.000], [0.000, 0.000, 3.689]], "species": ["Sr", "Sr", "Si", "Si", "Si", "Si", "Ba", "Ba", "Ba", "Ba"], "fractional_positions": [[0.000, 0.000, 0.000], [0.500, 0.500, 0.000], [0.173, 0.673, 0.500], [0.673, 0.827, 0.500], [0.827, 0.327, 0.500], [0.327, 0.173, 0.500], [0.374, 0.874, 0.000], [0.874, 0.626, 0.000], [0.626, 0.126, 0.000], [0.126, 0.374, 0.000]], "dos_at_fermi_per_ev_cell": 7.80}



(three)
{"formula": "Ba2SrSi2", "functional": "PBE", "state": "relaxed", "lattice_angstrom": [[8.289, 0.000, 0.000], [0.000, 8.289, 0.000], [0.000, 0.000, 5.146]], "species": ["Sr", "Sr", "Si", "Si", "Si", "Si", "Ba", "Ba", "Ba", "Ba"], "fractional_positions": [[0.000, 0.000, 0.000], [0.500, 0.500, 0.000], [0.399, 0.899, 0.000], [0.899, 0.601, 0.000], [0.601, 0.101, 0.000], [0.101, 0.399, 0.000], [0.173, 0.673, 0.500], [0.673, 0.827, 0.500], [0.827, 0.327, 0.500], [0.327, 0.173, 0.500]], "dos_at_fermi_per_ev_cell": 12.03}



The structure with the most favorable energy is (three); the runner-up is 0.211 eV/atom above it.



(one)
{"formula": "Ba3SrSi", "functional": "PBE", "state": "relaxed", "lattice_angstrom": [[-6.499, -0.764, 0.589], [0.965, -5.088, 4.044], [-0.014, 4.087, 5.145]], "species": ["Sr", "Si", "Ba", "Ba", "Ba"], "fractional_positions": [[0.500, 0.500, 0.500], [0.000, 0.000, 0.000], [0.000, 0.500, 0.000], [0.000, 0.000, 0.500], [0.500, 0.000, 0.000]], "dos_at_fermi_per_ev_cell": 4.35}



(two)
{"formula": "Ba3SrSi", "functional": "PBE", "state": "relaxed", "lattice_angstrom": [[6.549, 0.000, 0.000], [0.000, 6.549, 0.000], [0.000, 0.000, 6.549]], "species": ["Sr", "Si", "Ba", "Ba", "Ba"], "fractional_positions": [[0.000, 0.000, 0.000], [0.500, 0.500, 0.500], [0.000, 0.500, 0.000], [0.000, 0.000, 0.500], [0.500, 0.000, 0.000]], "dos_at_fermi_per_ev_cell": 5.76}



The structure with the most favorable energy is (one); the runner-up is 1.067 eV/atom above it.



(one)
{"formula": "BaTaSi2", "functional": "PBE", "state": "relaxed", "lattice_angstrom": [[-7.411, 3.119, 6.204], [-5.288, 2.304, 8.359], [-5.182, 5.151, 7.054]], "species": ["Ba", "Si", "Si", "Ta"], "fractional_positions": [[0.743, 0.743, 0.743], [0.982, 0.982, 0.982], [0.255, 0.255, 0.255], [0.520, 0.520, 0.520]], "dos_at_fermi_per_ev_cell": 2.27}



(two)
{"formula": "BaTaSi2", "functional": "PBE", "state": "relaxed", "lattice_angstrom": [[4.710, 0.007, 0.022], [3.316, 3.345, 0.022], [6.303, 2.633, 6.194]], "species": ["Ba", "Si", "Si", "Ta"], "fractional_positions": [[0.375, 0.375, 0.250], [0.985, 0.985, 0.867], [0.765, 0.765, 0.632], [0.375, 0.375, 0.750]], "dos_at_fermi_per_ev_cell": 2.41}



(three)
{"formula": "BaTaSi2", "functional": "PBE", "state": "relaxed", "lattice_angstrom": [[-0.306, -4.248, 2.568], [-1.782, 0.024, 4.643], [-4.447, -2.006, 0.968]], "species": ["Si", "Si", "Ba", "Ta"], "fractional_positions": [[0.250, 0.250, 0.250], [0.750, 0.750, 0.750], [0.000, 0.000, 0.000], [0.500, 0.500, 0.500]], "dos_at_fermi_per_ev_cell": 4.04}



(four)
{"formula": "BaTaSi2", "functional": "PBE", "state": "relaxed", "lattice_angstrom": [[-4.651, -1.015, 1.033], [-1.074, -3.510, 3.202], [-1.836, 1.160, 4.360]], "species": ["Ba", "Si", "Si", "Ta"], "fractional_positions": [[0.500, 0.500, 0.500], [0.000, 0.000, 0.000], [0.250, 0.250, 0.250], [0.750, 0.750, 0.750]], "dos_at_fermi_per_ev_cell": 2.49}



The structure with the most favorable energy is (two); the runner-up is 0.718 eV/atom above it.



(one)
{"formula": "BaTaSi2", "functional": "PBE", "state": "relaxed", "lattice_angstrom": [[-3.051, 1.850, 0.379], [-1.193, -2.447, 2.337], [3.140, 3.993, 5.782]], "species": ["Ba", "Si", "Si", "Ta"], "fractional_positions": [[0.500, 0.500, 0.761], [0.000, 0.000, 0.049], [0.500, 0.500, 0.318], [0.000, 0.000, 0.372]], "dos_at_fermi_per_ev_cell": 2.79}



(two)
{"formula": "BaTaSi2", "functional": "PBE", "state": "relaxed", "lattice_angstrom": [[-2.115, 5.507, -1.930], [-6.095, 0.956, -0.679], [4.994, -1.226, 3.476]], "species": ["Ba", "Si", "Si", "Ta"], "fractional_positions": [[0.251, 0.751, 0.500], [0.961, 0.961, 0.000], [0.744, 0.244, 0.500], [0.543, 0.543, 0.000]], "dos_at_fermi_per_ev_cell": 2.54}



(three)
{"formula": "BaTaSi2", "functional": "PBE", "state": "relaxed", "lattice_angstrom": [[5.380, 0.000, 0.000], [0.000, 5.380, 0.000], [2.690, 2.690, 8.344]], "species": ["Si", "Si", "Si", "Si", "Ba", "Ba", "Ta", "Ta"], "fractional_positions": [[0.875, 0.125, 0.250], [0.875, 0.625, 0.250], [0.375, 0.125, 0.750], [0.875, 0.125, 0.750], [0.500, 0.500, 0.000], [0.250, 0.750, 0.500], [0.000, 0.000, 0.000], [0.750, 0.250, 0.500]], "dos_at_fermi_per_ev_cell": 7.66}



The structure with the most favorable energy is (three); the runner-up is 0.114 eV/atom above it.



(one)
{"formula": "BaTaSi2", "functional": "PBE", "state": "relaxed", "lattice_angstrom": [[3.604, 0.000, 0.000], [0.000, 3.855, 0.028], [0.000, 1.873, 6.855]], "species": ["Ba", "Si", "Si", "Ta"], "fractional_positions": [[0.500, 0.791, 0.793], [0.000, 0.154, 0.067], [0.500, 0.033, 0.308], [0.000, 0.522, 0.333]], "dos_at_fermi_per_ev_cell": 2.75}



(two)
{"formula": "BaTaSi2", "functional": "PBE", "state": "relaxed", "lattice_angstrom": [[-0.542, -5.369, 0.465], [4.801, -0.266, 2.493], [-1.313, 0.355, 2.567]], "species": ["Ba", "Si", "Si", "Ta"], "fractional_positions": [[0.000, 0.500, 0.500], [0.000, 0.000, 0.000], [0.500, 0.500, 0.000], [0.500, 0.000, 0.500]], "dos_at_fermi_per_ev_cell": 2.94}



The structure with the most favorable energy is (one); the runner-up is 0.609 eV/atom above it.